[1]
Compound: K2TeIr
Source: the Alexandria database
Functional: PBEsol
Structure: optimized geometry

Computed properties:
Total DFT energy (no corrections) ... -3.5985 eV/atom
Volume ... 23.85 A^3/atom
Symmetry ... Pmmm, No. 47

a = 3.272 Å, b = 5.184 Å, c = 5.625 Å
α = 90.00°, β = 90.00°, γ = 90.00°
Element x y z (fractional)
Ir 0.500 0.500 0.500
K 0.000 0.000 0.743
K 0.000 0.000 0.257
Te 0.500 0.500 0.000

=====

[2]
Compound: K2TeIr
Source: the Alexandria database
Functional: PBEsol
Structure: optimized geometry

Computed properties:
Total DFT energy (no corrections) ... -3.6624 eV/atom
Volume ... 22.95 A^3/atom
Symmetry ... I4/mmm, No. 139

a = 4.181 Å, b = 4.181 Å, c = 6.027 Å
α = 110.29°, β = 110.29°, γ = 90.00°
Element x y z (fractional)
Ir 0.000 0.000 0.000
K 0.750 0.250 0.500
K 0.250 0.750 0.500
Te 0.500 0.500 0.000

=====

[3]
Compound: KTe2Ir
Source: the Alexandria database
Functional: PBEsol
Structure: optimized geometry

Computed properties:
Total DFT energy (no corrections) ... -3.7979 eV/atom
Volume ... 23.52 A^3/atom
Symmetry ... F-43m, No. 216

a = 5.105 Å, b = 5.105 Å, c = 5.105 Å
α = 60.00°, β = 60.00°, γ = 60.00°
Element x y z (fractional)
Ir 0.500 0.500 0.500
K 0.250 0.250 0.250
Te 0.000 0.000 0.000
Te 0.750 0.750 0.750

=====

[4]
Compound: KTeIr
Source: the Alexandria database
Functional: PBEsol
Structure: optimized geometry

Computed properties:
Total DFT energy (no corrections) ... -4.8028 eV/atom
Volume ... 25.96 A^3/atom
Symmetry ... I4mm, No. 107

a = 3.606 Å, b = 3.606 Å, c = 6.511 Å
α = 106.07°, β = 106.07°, γ = 90.00°
Element x y z (fractional)
K 0.335 0.335 0.670
Ir 0.051 0.051 0.103
Te 0.614 0.614 0.228

=====

[5]
Compound: KTe2Ir
Source: the Alexandria database
Functional: PBEsol
Structure: optimized geometry

Computed properties:
Total DFT energy (no corrections) ... -5.0058 eV/atom
Volume ... 27.50 A^3/atom
Symmetry ... R-3m, No. 166

a = 4.099 Å, b = 4.099 Å, c = 7.920 Å
α = 75.00°, β = 75.00°, γ = 60.00°
Element x y z (fractional)
K 0.500 0.500 0.500
Ir 0.000 0.000 0.000
Te 0.278 0.278 0.166
Te 0.722 0.722 0.834

=====

[6]
Compound: K2TeIr
Source: the Alexandria database
Functional: PBEsol
Structure: optimized geometry

Computed properties:
Total DFT energy (no corrections) ... -3.5308 eV/atom
Volume ... 23.50 A^3/atom
Symmetry ... F-43m, No. 216

a = 5.104 Å, b = 5.104 Å, c = 5.104 Å
α = 60.00°, β = 60.00°, γ = 60.00°
Element x y z (fractional)
Ir 0.500 0.500 0.500
K 0.000 0.000 0.000
K 0.750 0.750 0.750
Te 0.250 0.250 0.250

=====

[7]
Compound: K2TlIr
Source: the Alexandria database
Functional: PBEsol
Structure: optimized geometry

Computed properties:
Distance to the lowest polymorph of the same formula ... 0.39 eV/f.u.
Volume ... 34.72 A^3/atom
Symmetry ... P4mm, No. 99
Energy of formation ... 1.56 eV/f.u.

a = 3.752 Å, b = 3.752 Å, c = 9.866 Å
α = 90.00°, β = 90.00°, γ = 90.00°
Element x y z (fractional)
Ir 0.500 0.500 0.644
K 0.000 0.000 0.921
K 0.500 0.500 0.331
Tl 0.000 0.000 0.604

=====

[8]
Compound: K2TlIr
Source: the Alexandria database
Functional: PBEsol
Structure: optimized geometry

Computed properties:
Distance to the lowest polymorph of the same formula ... 1.33 eV/f.u.
Volume ... 23.86 A^3/atom
Symmetry ... I4/mmm, No. 139
Energy of formation ... 2.50 eV/f.u.

a = 4.218 Å, b = 4.218 Å, c = 6.139 Å
α = 110.09°, β = 110.09°, γ = 90.00°
Element x y z (fractional)
Ir 0.000 0.000 0.000
K 0.750 0.250 0.500
K 0.250 0.750 0.500
Tl 0.500 0.500 0.000

=====

[9]
Compound: KTl2Ir
Source: the Alexandria database
Functional: PBEsol
Structure: optimized geometry

Computed properties:
Volume ... 22.85 A^3/atom
Symmetry ... P4/mmm, No. 123
Energy of formation ... 2.53 eV/f.u.

a = 4.204 Å, b = 4.663 Å, c = 4.663 Å
α = 90.00°, β = 90.00°, γ = 90.00°
Element x y z (fractional)
Ir 0.500 0.500 0.500
K 0.500 0.000 0.000
Tl 0.000 0.000 0.500
Tl 0.000 0.500 0.000

=====

[10]
Compound: KTlIr
Source: the Alexandria database
Functional: PBEsol
Structure: optimized geometry

Computed properties:
Distance to the lowest polymorph of the same formula ... 0.00 eV/f.u.
Volume ... 25.36 A^3/atom
Symmetry ... F-43m, No. 216
Energy of formation ... 2.38 eV/f.u.

a = 4.757 Å, b = 4.757 Å, c = 4.757 Å
α = 60.00°, β = 60.00°, γ = 60.00°
Element x y z (fractional)
Ir 0.250 0.250 0.250
K 0.000 0.000 0.000
Tl 0.500 0.500 0.500

=====

[11]
Compound: KTl2Ir
Source: the Alexandria database
Functional: PBEsol
Structure: optimized geometry

Computed properties:
Volume ... 27.30 A^3/atom
Symmetry ... Imm2, No. 44
Energy of formation ... 0.92 eV/f.u.

a = 3.104 Å, b = 4.479 Å, c = 8.315 Å
α = 105.62°, β = 100.76°, γ = 90.00°
Element x y z (fractional)
Ir 0.487 0.487 0.974
K 0.178 0.678 0.356
Tl 0.000 0.000 0.999
Tl 0.835 0.335 0.670

=====

[12]
Compound: KTl2Ir
Source: the Alexandria database
Functional: PBEsol
Structure: optimized geometry

Computed properties:
Volume ... 28.15 A^3/atom
Symmetry ... Pmm2, No. 25
Energy of formation ... 1.23 eV/f.u.

a = 3.189 Å, b = 4.285 Å, c = 8.241 Å
α = 90.00°, β = 90.00°, γ = 90.00°
Element x y z (fractional)
Ir 0.000 0.000 0.374
K 0.500 0.500 0.736
Tl 0.000 0.000 0.044
Tl 0.500 0.500 0.347

=====

[13]
Compound: KTl2Ir
Source: the Alexandria database
Functional: PBEsol
Structure: optimized geometry

Computed properties:
Volume ... 24.09 A^3/atom
Symmetry ... R-3m, No. 166
Energy of formation ... 1.45 eV/f.u.

a = 3.370 Å, b = 3.370 Å, c = 9.990 Å
α = 80.29°, β = 80.29°, γ = 60.00°
Element x y z (fractional)
Ir 0.500 0.500 0.500
K 0.000 0.000 0.000
Tl 0.235 0.235 0.294
Tl 0.765 0.765 0.706

=====

[14]
Compound: KTl3Ir
Source: the Alexandria database
Functional: PBEsol
Structure: optimized geometry

Computed properties:
Volume ... 34.39 A^3/atom
Symmetry ... Pm-3m, No. 221
Energy of formation ... 9.08 eV/f.u.

a = 5.561 Å, b = 5.561 Å, c = 5.561 Å
α = 90.00°, β = 90.00°, γ = 90.00°
Each line ends with the local moment (μB).
Element x y z (fractional)
Tl 0.000 0.500 0.000  -0.01
Tl 0.000 0.000 0.500  -0.01
Tl 0.500 0.000 0.000  -0.01
Ir 0.500 0.500 0.500  0.40
K 0.000 0.000 0.000  -0.01

=====

[15]
Compound: K2TlIr
Source: the Alexandria database
Functional: PBEsol
Structure: optimized geometry

Computed properties:
Distance to the lowest polymorph of the same formula ... 0.00 eV/f.u.
Volume ... 34.04 A^3/atom
Symmetry ... C2/m, No. 12
Energy of formation ... 1.17 eV/f.u.

a = 3.225 Å, b = 4.358 Å, c = 10.060 Å
α = 102.44°, β = 99.22°, γ = 90.00°
Element x y z (fractional)
Ir 0.500 0.000 0.000
K 0.855 0.856 0.709
K 0.145 0.144 0.291
Tl 0.000 0.500 0.000

=====

[16]
Compound: K2TlIr
Source: the Alexandria database
Functional: PBEsol
Structure: optimized geometry

Computed properties:
Distance to the lowest polymorph of the same formula ... 1.46 eV/f.u.
Volume ... 25.65 A^3/atom
Symmetry ... P2/m, No. 10
Energy of formation ... 2.62 eV/f.u.

a = 3.566 Å, b = 5.253 Å, c = 5.532 Å
α = 90.00°, β = 98.12°, γ = 90.00°
Element x y z (fractional)
Ir 0.500 0.500 0.500
K 0.903 0.000 0.732
K 0.097 0.000 0.268
Tl 0.500 0.500 0.000

=====

[17]
Compound: KIr4W
Source: the Alexandria database
Functional: PBEsol
Structure: optimized geometry

Computed properties:
Volume ... 16.44 A^3/atom
Symmetry ... F-43m, No. 216
Energy of formation ... 4.33 eV/f.u.

a = 5.186 Å, b = 5.186 Å, c = 5.186 Å
α = 60.00°, β = 60.00°, γ = 60.00°
Element x y z (fractional)
Ir 0.375 0.375 0.375
Ir 0.375 0.375 0.874
Ir 0.874 0.375 0.375
Ir 0.375 0.874 0.375
K 0.750 0.750 0.750
W 0.000 0.000 0.000

=====

[18]
Compound: K2YIr
Source: the Alexandria database
Functional: PBEsol
Structure: optimized geometry

Computed properties:
Volume ... 40.03 A^3/atom
Symmetry ... Cm, No. 8
Energy of formation ... 0.70 eV/f.u.

a = 4.088 Å, b = 4.111 Å, c = 11.193 Å
α = 99.70°, β = 90.00°, γ = 119.81°
Element x y z (fractional)
Ir 0.764 0.528 0.288
K 0.038 0.075 0.096
K 0.233 0.467 0.716
Y 0.465 0.930 0.399

=====

[19]
Compound: KZnIr2
Source: the Alexandria database
Functional: PBEsol
Structure: optimized geometry

Computed properties:
Volume ... 19.01 A^3/atom
Symmetry ... Pmmm, No. 47
Energy of formation ... 2.33 eV/f.u.

a = 2.600 Å, b = 4.033 Å, c = 7.249 Å
α = 90.00°, β = 90.00°, γ = 90.00°
Element x y z (fractional)
Ir 0.000 0.000 0.671
Ir 0.000 0.000 0.329
K 0.500 0.500 0.000
Zn 0.500 0.500 0.500

=====

[20]
Compound: KZn2Ir
Source: the Alexandria database
Functional: PBEsol
Structure: optimized geometry

Computed properties:
Distance to the lowest polymorph of the same formula ... 0.00 eV/f.u.
Volume ... 21.81 A^3/atom
Symmetry ... Pm, No. 6
Energy of formation ... 0.60 eV/f.u.

a = 2.870 Å, b = 4.125 Å, c = 7.367 Å
α = 90.00°, β = 90.08°, γ = 90.00°
Element x y z (fractional)
Ir 0.376 0.000 0.356
K 0.372 0.500 0.731
Zn 0.875 0.000 0.077
Zn 0.876 0.500 0.337

=====

Looking at magnetic moment for the records above, in order, we have 0.01 0.00 0.00 0.00 0.00 0.00 0.00 0.00 0.00 0.00 0.00 0.00 0.00 0.25 0.00 0.00 0.00 0.00 0.00 0.00 μB per formula unit.